First-principles (PBE) data for a relaxed LuCoNiGe crystal, as listed in OQMD.

Lattice parameters (Å, degrees): 4.347 4.347 4.347 60.00 60.00 60.00
Last column: magnetic moment on the atom in μB.
Sites, in units of the cell vectors:
1 Co 0.750 0.750 0.750  0.51
2 Ge 0.000 0.000 0.000  0.02
3 Lu 0.500 0.500 0.500  -0.03
4 Ni 0.250 0.250 0.250  0.14

SG   No. 216
Spin magnetization   0.6 μB/f.u.
Calculated volume   58.1 Å³/cell
E_tot   -5.838 eV/atom